A geometry-optimized Na3Be3Pb2F13 structure, computed with PBEsol.

## Properties
Volume   12.9 A^3/atom
ΔE_f (raw)   -2.8884 eV/atom
E_tot   -5.23 eV/atom

The structure in POSCAR format:
```
Na3Be3Pb2F13
1.0
-3.6019 6.0601 -0.2099
-7.5862 -4.6099 -2.9138
1.4554 1.1865 9.2806
Na Be Pb F
6 6 4 26
Direct
0.5028 0.6715 0.3244
0.0028 0.3285 0.6756
0.4930 0.3369 0.6765
0.9930 0.6631 0.3235
0.2465 0.2593 0.9936
0.7465 0.7407 0.0064
0.2499 0.9733 0.5921
0.2444 0.4082 0.3740
0.2448 0.6333 0.0317
0.7499 0.0267 0.4079
0.7444 0.5918 0.6260
0.7448 0.3667 0.9683
0.2499 0.0186 0.2361
0.2437 0.7414 0.7550
0.7499 0.9814 0.7639
0.7437 0.2586 0.2450
0.4233 0.9111 0.6533
0.4080 0.3183 0.2499
0.4206 0.7541 0.0751
0.9233 0.0889 0.3467
0.9080 0.6817 0.7501
0.9206 0.2459 0.9249
0.5711 0.0979 0.3630
0.5646 0.6442 0.7349
0.5697 0.2457 0.9165
0.0711 0.9021 0.6370
0.0646 0.3558 0.2651
0.0697 0.7543 0.0835
0.2584 0.8836 0.4033
0.2647 0.5973 0.4539
0.2507 0.5426 0.1289
0.7584 0.1164 0.5967
0.7647 0.4027 0.5461
0.7507 0.4574 0.8711
0.2469 0.1601 0.6726
0.2399 0.3524 0.5027
0.2398 0.5136 0.8465
0.7469 0.8399 0.3274
0.7399 0.6476 0.4973
0.7398 0.4864 0.1535
0.2226 0.0080 0.9802
0.7226 0.9920 0.0198
```



A geometry-optimized NaBe2Tl3F8 structure, computed with PBEsol.

## Properties
Volume   14.9 A^3/atom
ΔE_f (raw)   -2.5637 eV/atom
E_tot   -4.90 eV/atom

The structure in POSCAR format:
```
NaBe2Tl3F8
1.0
5.7085 0.0000 0.0000
-2.8543 4.9437 0.0000
0.0000 0.0000 7.4060
Na Be Tl F
1 2 3 8
Direct
0.0000 0.0000 0.5000
0.6667 0.3333 0.7674
0.3333 0.6667 0.2326
0.6667 0.3333 0.3182
0.3333 0.6667 0.6818
0.0000 0.0000 0.0000
0.6667 0.3333 0.9744
0.3333 0.6667 0.0256
0.8159 0.6317 0.6917
0.1841 0.3683 0.3083
0.8159 0.1841 0.6917
0.1841 0.8159 0.3083
0.3683 0.1841 0.6917
0.6317 0.8159 0.3083
```



A geometry-optimized BeO3F structure, computed with PBEsol.

## Properties
Volume   9.0 A^3/atom
ΔE_f (raw)   1.2239 eV/atom
E_tot   -3.11 eV/atom

The structure in POSCAR format:
```
BeO3F
1.0
3.5506 0.0000 0.0000
0.0000 3.5506 0.0000
0.0000 0.0000 3.5506
Be O F
1 3 1
Direct
0.0000 0.0000 0.0000
0.0000 0.5000 0.5000
0.5000 0.0000 0.5000
0.5000 0.5000 0.0000
0.5000 0.5000 0.5000
```



A geometry-optimized BeOsO2F structure, computed with PBEsol.

## Properties
Volume   17.1 A^3/atom
ΔE_f (raw)   -0.2246 eV/atom
E_tot   -5.95 eV/atom

The structure in POSCAR format:
```
BeOsO2F
1.0
-0.2671 -2.7081 2.3878
3.3223 0.7530 1.2257
-2.5515 4.1187 4.3858
Be Os O F
1 1 2 1
Direct
0.5000 0.5000 0.5000
0.0000 0.0000 0.0000
0.0000 0.5000 0.0000
0.5000 0.0000 0.0000
0.0000 0.0000 0.5000
```



A geometry-optimized BePtO2F structure, computed with PBEsol.

## Properties
Volume   12.6 A^3/atom
ΔE_f (raw)   0.0871 eV/atom
E_tot   -4.59 eV/atom

The structure in POSCAR format:
```
BePtO2F
1.0
-3.4878 1.6910 0.4047
-1.1690 -2.9520 2.2599
1.3661 2.0178 3.3423
Be O Pt F
1 2 1 1
Direct
0.5000 0.5000 0.5000
0.0000 0.5000 0.0000
0.5000 0.0000 0.0000
0.0000 0.0000 0.0000
0.0000 0.0000 0.5000
```



A geometry-optimized BeReO2F structure, computed with PBEsol.

## Properties
Volume   8.5 A^3/atom
ΔE_f (raw)   -0.8499 eV/atom
E_tot   -6.80 eV/atom

The structure in POSCAR format:
```
BeReO2F
1.0
2.9671 0.0000 0.0000
0.0000 3.7849 0.0000
0.0000 0.0000 3.7849
Re Be O F
1 1 2 1
Direct
0.5000 0.5000 0.5000
0.0000 0.0000 0.0000
0.0000 0.0000 0.5000
0.0000 0.5000 0.0000
0.5000 0.0000 0.0000
```



A geometry-optimized SrBeO2F structure, computed with PBEsol.

## Properties
Volume   10.1 A^3/atom
ΔE_f (raw)   -2.5032 eV/atom
E_tot   -6.16 eV/atom

The structure in POSCAR format:
```
SrBeO2F
1.0
-2.5254 1.9920 -1.4177
-1.9105 -0.3358 2.9314
1.7695 3.3362 1.5354
Sr Be O F
1 1 2 1
Direct
0.5000 0.5000 0.5000
0.0000 0.0000 0.0000
0.0000 0.5000 0.0000
0.5000 0.0000 0.0000
0.0000 0.0000 0.5000
```



A geometry-optimized BeTeO2F structure, computed with PBEsol.

## Properties
Volume   9.5 A^3/atom
ΔE_f (raw)   -1.3475 eV/atom
E_tot   -5.34 eV/atom

The structure in POSCAR format:
```
BeTeO2F
1.0
-3.0218 0.2301 -1.4048
-1.6010 -0.1415 3.4208
0.1761 3.7679 0.2383
Be Te O F
1 1 2 1
Direct
0.0000 0.0000 0.0000
0.5000 0.5000 0.5000
0.0000 0.0000 0.5000
0.0000 0.5000 0.0000
0.5000 0.0000 0.0000
```



A geometry-optimized ZrBeOF2 structure, computed with PBEsol.

## Properties
Volume   14.5 A^3/atom
ΔE_f (raw)   -1.9689 eV/atom
E_tot   -6.41 eV/atom

The structure in POSCAR format:
```
ZrBeOF2
1.0
4.0041 0.0000 0.0000
0.0000 4.2574 0.0000
0.0000 0.0000 4.2574
Be O Zr F
1 1 1 2
Direct
0.5000 0.5000 0.5000
0.5000 0.0000 0.0000
0.0000 0.0000 0.0000
0.0000 0.0000 0.5000
0.0000 0.5000 0.0000
```



A geometry-optimized BeOsF3 structure, computed with PBEsol.

## Properties
Volume   13.7 A^3/atom
ΔE_f (raw)   -0.0434 eV/atom
E_tot   -4.44 eV/atom

The structure in POSCAR format:
```
BeOsF3
1.0
4.0940 0.0000 0.0000
0.0000 4.0940 0.0000
0.0000 0.0000 4.0940
Be Os F
1 1 3
Direct
0.5000 0.5000 0.5000
0.0000 0.0000 0.0000
0.0000 0.5000 0.0000
0.0000 0.0000 0.5000
0.5000 0.0000 0.0000
```



A geometry-optimized BeP3F structure, computed with PBEsol.

## Properties
Volume   14.0 A^3/atom
ΔE_f (raw)   0.4148 eV/atom
E_tot   -4.25 eV/atom

The structure in POSCAR format:
```
BeP3F
1.0
-1.4414 -0.1556 3.8608
3.7645 -0.9851 1.3657
0.8707 4.0016 0.4864
P Be F
3 1 1
Direct
0.0000 0.5000 0.0000
0.0000 0.0000 0.5000
0.5000 0.0000 0.0000
0.0000 0.0000 0.0000
0.5000 0.5000 0.5000
```



A geometry-optimized Be2PPbF structure, computed with PBEsol.

## Properties
Volume   17.5 A^3/atom
ΔE_f (raw)   -0.0615 eV/atom
E_tot   -4.01 eV/atom

The structure in POSCAR format:
```
Be2PPbF
1.0
3.9014 0.0000 0.0000
0.0000 3.9014 0.0000
0.0000 0.0000 5.7546
Pb P Be F
1 1 2 1
Direct
0.5000 0.5000 0.5000
0.0000 0.0000 0.0000
0.0000 0.5000 0.0000
0.5000 0.0000 0.0000
0.0000 0.0000 0.5000
```



A geometry-optimized BePS2F structure, computed with PBEsol.

## Properties
Volume   14.3 A^3/atom
ΔE_f (raw)   0.2713 eV/atom
E_tot   -3.83 eV/atom

The structure in POSCAR format:
```
BePS2F
1.0
4.0770 0.0000 0.0000
0.0000 4.0770 0.0000
0.0000 0.0000 4.3046
P S Be F
1 2 1 1
Direct
0.0000 0.0000 0.5000
0.0000 0.5000 0.0000
0.5000 0.0000 0.0000
0.0000 0.0000 0.0000
0.5000 0.5000 0.5000
```



A geometry-optimized BePbF4 structure, computed with PBEsol.

## Properties
Volume   14.3 A^3/atom
ΔE_f (raw)   -2.7853 eV/atom
E_tot   -5.40 eV/atom

The structure in POSCAR format:
```
BePbF4
1.0
5.3109 0.0000 0.0000
0.0000 7.2488 0.0000
0.0000 0.0000 8.9221
Pb Be F
4 4 16
Direct
0.7500 0.7501 0.2267
0.2500 0.2501 0.2733
0.2500 0.2499 0.7733
0.7500 0.7499 0.7267
0.7500 0.2499 0.0782
0.2500 0.7499 0.4218
0.2500 0.7501 0.9218
0.7500 0.2501 0.5782
0.9957 0.2497 0.9868
0.0043 0.7497 0.5132
0.4957 0.7503 0.0132
0.5043 0.2503 0.4868
0.0043 0.7503 0.0132
0.9957 0.2503 0.4868
0.5043 0.2497 0.9868
0.4957 0.7497 0.5132
0.7500 0.4189 0.1881
0.2500 0.9189 0.3119
0.2500 0.5811 0.8119
0.7500 0.0811 0.6881
0.7500 0.0815 0.1886
0.2500 0.5815 0.3114
0.2500 0.9185 0.8114
0.7500 0.4185 0.6886
```



A geometry-optimized BePdF3 structure, computed with PBEsol.

## Properties
Volume   9.4 A^3/atom
ΔE_f (raw)   -1.7069 eV/atom
E_tot   -4.86 eV/atom

The structure in POSCAR format:
```
BePdF3
1.0
-3.1713 0.7484 1.5527
-1.5537 -2.6489 -1.8967
0.7462 -2.3348 2.6495
Be Pd F
1 1 3
Direct
0.0000 0.0000 0.0000
0.5000 0.5000 0.5000
0.0000 0.5000 0.0000
0.0000 0.0000 0.5000
0.5000 0.0000 0.0000
```



A geometry-optimized BePdF2 structure, computed with PBEsol.

## Properties
Volume   14.5 A^3/atom
ΔE_f (raw)   -1.2725 eV/atom
E_tot   -4.73 eV/atom

The structure in POSCAR format:
```
BePdF2
1.0
2.7438 0.0000 0.0000
1.3719 2.3762 0.0000
1.3719 0.7921 8.9238
Be Pd F
1 1 2
Direct
0.0000 0.0000 0.0000
0.5000 0.5000 0.5000
0.9486 0.9486 0.1541
0.0514 0.0514 0.8459
```



A geometry-optimized BePt2F structure, computed with PBEsol.

## Properties
Volume   13.6 A^3/atom
ΔE_f (raw)   -0.0795 eV/atom
E_tot   -5.04 eV/atom

The structure in POSCAR format:
```
BePt2F
1.0
-2.9702 1.4353 -1.7263
-2.1226 -2.7277 1.3843
1.0062 5.0458 6.4788
Be Pt F
2 4 2
Direct
0.7500 0.2500 0.5000
0.5000 0.5000 0.0000
0.3829 0.8750 0.2500
0.8671 0.3750 0.2500
0.1250 0.1329 0.7500
0.6250 0.6171 0.7500
0.2500 0.7500 0.5000
0.0000 0.0000 0.0000
```



A geometry-optimized BePtF3 structure, computed with PBEsol.

## Properties
Energy relative to the lowest polymorph listed for this composition   0.0000 eV/atom
Volume   9.7 A^3/atom
ΔE_f (raw)   -1.2498 eV/atom
E_tot   -4.60 eV/atom

The structure in POSCAR format:
```
BePtF3
1.0
3.6527 0.0000 0.0000
0.0000 3.6527 0.0000
0.0000 0.0000 3.6527
Be Pt F
1 1 3
Direct
0.0000 0.0000 0.0000
0.5000 0.5000 0.5000
0.0000 0.5000 0.0000
0.0000 0.0000 0.5000
0.5000 0.0000 0.0000
```



A geometry-optimized Be3PtF structure, computed with PBEsol.

## Properties
Volume   9.6 A^3/atom
ΔE_f (raw)   -0.5649 eV/atom
E_tot   -4.74 eV/atom

The structure in POSCAR format:
```
Be3PtF
1.0
-1.3835 -2.1757 -2.5634
2.6808 -2.3868 0.5790
-2.0293 -1.6697 2.5125
Be Pt F
3 1 1
Direct
0.0000 0.5000 0.0000
0.0000 0.0000 0.5000
0.5000 0.0000 0.0000
0.5000 0.5000 0.5000
0.0000 0.0000 0.0000
```



A geometry-optimized BePtF3 structure, computed with PBEsol.

## Properties
Energy relative to the lowest polymorph listed for this composition   0.9994 eV/atom
Volume   14.9 A^3/atom
ΔE_f (raw)   -0.2504 eV/atom
E_tot   -3.60 eV/atom

The structure in POSCAR format:
```
BePtF3
1.0
4.2123 0.0000 0.0000
0.0000 4.2123 0.0000
0.0000 0.0000 4.2123
Be Pt F
1 1 3
Direct
0.5000 0.5000 0.5000
0.0000 0.0000 0.0000
0.0000 0.5000 0.0000
0.0000 0.0000 0.5000
0.5000 0.0000 0.0000
```



A geometry-optimized RbBeF2 structure, computed with PBEsol.

## Properties
Energy relative to the lowest polymorph listed for this composition   1.0034 eV/atom
Volume   15.4 A^3/atom
ΔE_f (raw)   -1.1168 eV/atom
E_tot   -3.34 eV/atom

The structure in POSCAR format:
```
RbBeF2
1.0
-0.3968 0.3101 -4.4054
-0.8399 -3.6253 -2.4110
-3.9670 -0.5217 -1.9109
Be Rb F
1 1 2
Direct
0.0000 0.0000 0.0000
0.5000 0.5000 0.5000
0.2500 0.2500 0.2500
0.7500 0.7500 0.7500
```



A geometry-optimized RbBeF2 structure, computed with PBEsol.

## Properties
Energy relative to the lowest polymorph listed for this composition   0.0000 eV/atom
Volume   22.8 A^3/atom
ΔE_f (raw)   -2.1202 eV/atom
E_tot   -4.34 eV/atom

The structure in POSCAR format:
```
RbBeF2
1.0
-0.1239 -0.9780 -4.1630
1.8548 -3.5878 -1.4105
-4.3464 -4.3896 -1.0377
Be Rb F
1 1 2
Direct
0.0000 0.0000 0.0000
0.5000 0.5000 0.5000
0.9154 0.9154 0.2539
0.0846 0.0846 0.7461
```



A geometry-optimized RbYBeF6 structure, computed with PBEsol.

## Properties
Volume   13.6 A^3/atom
ΔE_f (raw)   -3.6279 eV/atom
E_tot   -6.23 eV/atom

The structure in POSCAR format:
```
RbYBeF6
1.0
5.8133 0.0000 0.0000
0.0000 6.4160 -0.0099
0.0000 -2.8586 6.5538
Rb Y Be F
2 2 2 12
Direct
0.7500 0.9196 0.7862
0.2500 0.0804 0.2138
0.7500 0.6079 0.1769
0.2500 0.3921 0.8231
0.7500 0.2310 0.4633
0.2500 0.7690 0.5367
0.5337 0.2412 0.5955
0.4663 0.7588 0.4045
0.0337 0.7588 0.4045
0.9663 0.2412 0.5955
0.7500 0.4308 0.3957
0.2500 0.5692 0.6043
0.5017 0.3213 0.0298
0.4983 0.6787 0.9702
0.0017 0.6787 0.9702
0.9983 0.3213 0.0298
0.7500 0.0019 0.2697
0.2500 0.9981 0.7303
```



A geometry-optimized Be3ReF structure, computed with PBEsol.

## Properties
Volume   9.3 A^3/atom
ΔE_f (raw)   -0.2384 eV/atom
E_tot   -5.69 eV/atom

The structure in POSCAR format:
```
Be3ReF
1.0
3.5958 0.0000 0.0000
0.0000 3.5958 0.0000
0.0000 0.0000 3.5958
Re Be F
1 3 1
Direct
0.5000 0.5000 0.5000
0.0000 0.5000 0.0000
0.0000 0.0000 0.5000
0.5000 0.0000 0.0000
0.0000 0.0000 0.0000
```